No. 1
Density functional theory data (PBE) for a relaxed structure of Nd8Ni2Au.

Values from the calculation:
Its space group is No. 12.

Cell: 8.011 8.011 5.782 Å, 99.15 99.15 116.01°
Sites, in units of the cell vectors:
Nd1 0.088 0.338 0.572
Nd2 0.233 0.767 0.000
Nd3 0.338 0.088 0.572
Nd4 0.381 0.381 0.180
Nd5 0.619 0.619 0.820
Nd6 0.662 0.912 0.428
Nd7 0.767 0.233 0.000
Nd8 0.912 0.662 0.428
Ni1 0.292 0.708 0.500
Ni2 0.708 0.292 0.500
Au1 0.000 0.000 0.000

---

No. 2
Density functional theory data (PBE) for a relaxed structure of Nd2Ni2Au.

Values from the calculation:
Its space group is No. 15. The calculation puts the energy above the most stable polymorph in this dataset at 51 meV per atom.

Cell: 5.584 5.584 7.981 Å, 103.25 103.25 58.85°
Sites, in units of the cell vectors:
Nd1 0.005 0.702 0.852
Nd2 0.298 0.995 0.648
Nd3 0.702 0.005 0.352
Nd4 0.995 0.298 0.148
Ni1 0.210 0.503 0.495
Ni2 0.497 0.790 0.005
Ni3 0.503 0.210 0.995
Ni4 0.790 0.497 0.505
Au1 0.335 0.665 0.250
Au2 0.665 0.335 0.750

---

No. 3
Density functional theory data (PBE) for a relaxed structure of Nd8NiAu2.

Values from the calculation:
Its space group is No. 8. The calculation puts the energy above the most stable polymorph in this dataset at 96 meV per atom.

Cell: 8.070 8.070 6.163 Å, 104.38 104.38 109.25°
Sites, in units of the cell vectors:
Nd1 0.000 0.000 0.000
Nd2 0.220 0.501 0.193
Nd3 0.254 0.974 0.538
Nd4 0.475 0.734 0.875
Nd5 0.501 0.220 0.193
Nd6 0.728 0.728 0.448
Nd7 0.734 0.475 0.875
Nd8 0.974 0.254 0.538
Ni1 0.348 0.348 0.511
Au1 0.076 0.671 0.752
Au2 0.671 0.076 0.752

---

No. 4
Density functional theory data (PBE) for a relaxed structure of Nd5Ni2Au.

Values from the calculation:
Its space group is No. 140.

Cell: 8.661 8.661 8.661 Å, 125.58 125.58 80.59°
Sites, in units of the cell vectors:
Nd1 0.000 0.000 0.000
Nd2 0.024 0.524 0.826
Nd3 0.198 0.024 0.500
Nd4 0.302 0.802 0.826
Nd5 0.476 0.302 0.500
Nd6 0.500 0.500 0.000
Nd7 0.524 0.698 0.500
Nd8 0.698 0.198 0.174
Nd9 0.802 0.976 0.500
Nd10 0.976 0.476 0.174
Ni1 0.120 0.380 0.500
Ni2 0.380 0.880 0.259
Ni3 0.620 0.120 0.741
Ni4 0.880 0.620 0.500
Au1 0.250 0.250 0.000
Au2 0.750 0.750 0.000

---

No. 5
Density functional theory data (PBE) for a relaxed structure of Nd2NiAu3.

Values from the calculation:
Its space group is No. 25.

Cell: 3.759 4.288 8.516 Å, 90.00 90.00 90.00°
Sites, in units of the cell vectors:
Nd1 0.000 0.000 0.000
Nd2 0.000 0.500 0.465
Ni1 0.500 0.000 0.326
Au1 0.500 0.000 0.626
Au2 0.500 0.500 0.161
Au3 0.500 0.500 0.832

---

No. 6
Density functional theory data (PBE) for a relaxed structure of Nd8NiAu2.

Values from the calculation:
Its space group is No. 12. The calculation puts the energy above the most stable polymorph in this dataset at 0 meV per atom.

Cell: 9.374 9.374 7.034 Å, 100.27 100.27 32.01°
Sites, in units of the cell vectors:
Nd1 0.025 0.025 0.280
Nd2 0.203 0.203 0.827
Nd3 0.342 0.342 0.529
Nd4 0.412 0.412 0.054
Nd5 0.588 0.588 0.946
Nd6 0.658 0.658 0.471
Nd7 0.797 0.797 0.173
Nd8 0.975 0.975 0.720
Ni1 0.500 0.500 0.500
Au1 0.192 0.192 0.243
Au2 0.808 0.808 0.757

---

No. 7
Density functional theory data (PBE) for a relaxed structure of Nd3Ni7Au2.

Values from the calculation:
Its space group is No. 166.

Cell: 8.971 8.971 8.971 Å, 33.82 33.82 33.82°
Sites, in units of the cell vectors:
Nd1 0.000 0.000 0.000
Nd2 0.140 0.140 0.140
Nd3 0.860 0.860 0.860
Ni1 0.087 0.587 0.587
Ni2 0.413 0.413 0.913
Ni3 0.413 0.913 0.413
Ni4 0.500 0.500 0.500
Ni5 0.587 0.087 0.587
Ni6 0.587 0.587 0.087
Ni7 0.913 0.413 0.413
Au1 0.333 0.333 0.333
Au2 0.667 0.667 0.667

---

No. 8
Density functional theory data (PBE) for a relaxed structure of Nd4Ni2Au.

Values from the calculation:
Its space group is No. 166.

Cell: 10.118 10.118 10.118 Å, 26.68 26.68 26.68°
Sites, in units of the cell vectors:
Nd1 0.116 0.116 0.116
Nd2 0.298 0.298 0.298
Nd3 0.702 0.702 0.702
Nd4 0.884 0.884 0.884
Ni1 0.404 0.404 0.404
Ni2 0.596 0.596 0.596
Au1 0.500 0.500 0.500

---

Number 1: energy relative to the elements -1.494 eV/f.u.. Number 2: energy relative to the elements -2.349 eV/f.u.. Number 3: energy relative to the elements -2.343 eV/f.u.. Number 4: energy relative to the elements -2.824 eV/f.u.. Number 5: energy relative to the elements -3.779 eV/f.u.. Number 6: energy relative to the elements -3.401 eV/f.u.. Number 7: energy relative to the elements -4.336 eV/f.u.. Number 8: energy relative to the elements -2.005 eV/f.u..